[1]
CsLi3Cl3 | PBE | optimized geometry

Cell lengths 7.258, 7.258, 7.258 Å; angles 90.00, 90.00, 90.00 degrees
Sites, in units of the cell vectors:
Cs 0.500 0.500 0.500
Cs 0.000 0.000 0.000
Li 0.250 0.000 0.500
Li 0.000 0.500 0.250
Li 0.500 0.750 0.000
Li 0.750 0.000 0.500
Li 0.000 0.500 0.750
Li 0.500 0.250 0.000
Cl 0.000 0.250 0.500
Cl 0.000 0.750 0.500
Cl 0.500 0.000 0.750
Cl 0.750 0.500 0.000
Cl 0.500 0.000 0.250
Cl 0.250 0.500 0.000


[2]
CsLiCl2 | PBE | optimized geometry

Cell lengths 4.939, 4.939, 9.719 Å; angles 90.00, 90.00, 90.00 degrees
Sites, in units of the cell vectors:
Cl 0.250 0.750 0.000
Cl 0.750 0.250 0.000
Cl 0.250 0.250 0.326
Cl 0.750 0.750 0.674
Cs 0.250 0.250 0.691
Cs 0.750 0.750 0.309
Li 0.250 0.250 0.083
Li 0.750 0.750 0.917


[3]
Cs2Li2Cl | PBE | optimized geometry

Cell lengths 8.876, 8.876, 5.824 Å; angles 90.00, 90.00, 90.00 degrees
Sites, in units of the cell vectors:
Cs 0.200 0.700 0.500
Cs 0.700 0.800 0.500
Cs 0.800 0.300 0.500
Cs 0.300 0.200 0.500
Li 0.388 0.888 0.000
Li 0.888 0.612 0.000
Li 0.612 0.112 0.000
Li 0.112 0.388 0.000
Cl 0.000 0.000 0.000
Cl 0.500 0.500 0.000

Calculated values
energy above the lowest structure with this stoichiometry = 136 meV/atom


[4]
CsLiMg2Cl6 | PBE | optimized geometry

Cell lengths 7.610, 9.887, 9.887 Å; angles 94.86, 76.07, 76.07 degrees
Sites, in units of the cell vectors:
Cs 0.250 0.888 0.112
Cs 0.750 0.112 0.888
Li 0.250 0.219 0.781
Li 0.750 0.781 0.219
Mg 0.331 0.763 0.605
Mg 0.169 0.395 0.237
Mg 0.669 0.237 0.395
Mg 0.831 0.605 0.763
Cl 0.230 0.972 0.769
Cl 0.270 0.231 0.028
Cl 0.770 0.028 0.231
Cl 0.730 0.769 0.972
Cl 0.458 0.798 0.376
Cl 0.042 0.624 0.202
Cl 0.542 0.202 0.624
Cl 0.958 0.376 0.798
Cl 0.049 0.694 0.603
Cl 0.451 0.397 0.306
Cl 0.951 0.306 0.397
Cl 0.549 0.603 0.694


[5]
Cs3Li2MgCl6 | PBE | optimized geometry

Cell lengths 7.381, 7.381, 9.062 Å; angles 90.00, 90.00, 120.00 degrees
Sites, in units of the cell vectors:
Cs 0.333 0.667 0.662
Cs 0.667 0.333 0.338
Cs 0.000 0.000 0.000
Li 0.667 0.333 0.749
Li 0.333 0.667 0.251
Mg 0.000 0.000 0.500
Cl 0.680 0.840 0.331
Cl 0.160 0.320 0.331
Cl 0.160 0.840 0.331
Cl 0.840 0.680 0.669
Cl 0.320 0.160 0.669
Cl 0.840 0.160 0.669


[6]
Cs2Li2MgCl6 | PBE | optimized geometry

Cell lengths 7.359, 7.384, 7.714 Å; angles 113.15, 90.00, 119.89 degrees
Sites, in units of the cell vectors:
Cs 0.716 0.431 0.173
Cs 0.284 0.569 0.827
Li 0.916 0.831 0.719
Li 0.084 0.169 0.281
Mg 0.500 0.000 0.500
Cl 0.725 0.450 0.657
Cl 0.244 0.966 0.251
Cl 0.278 0.034 0.749
Cl 0.756 0.034 0.749
Cl 0.722 0.966 0.251
Cl 0.275 0.550 0.343


[7]
CsLiMgCl4 | PBE | optimized geometry

Cell lengths 6.609, 7.280, 9.313 Å; angles 90.00, 105.83, 90.00 degrees
Sites, in units of the cell vectors:
Cs 0.741 0.750 0.935
Cs 0.259 0.250 0.065
Li 0.869 0.750 0.512
Li 0.131 0.250 0.488
Mg 0.237 0.750 0.326
Mg 0.763 0.250 0.674
Cl 0.013 0.489 0.688
Cl 0.987 0.989 0.312
Cl 0.987 0.511 0.312
Cl 0.013 0.011 0.688
Cl 0.318 0.750 0.096
Cl 0.682 0.250 0.904
Cl 0.519 0.750 0.539
Cl 0.481 0.250 0.461


[8]
CsLi3Mn4Cl12 | PBE | optimized geometry

Cell lengths 8.794, 8.794, 8.794 Å; angles 108.46, 108.46, 108.46 degrees
Site moments in Bohr magnetons follow the coordinates.
Sites, in units of the cell vectors:
Cs 0.000 0.000 0.000  0.00
Li 0.569 0.431 0.000  0.01
Li 0.431 0.000 0.569  0.01
Li 0.000 0.569 0.431  0.01
Mn 0.933 0.067 0.500  4.37
Mn 0.067 0.500 0.933  4.37
Mn 0.500 0.933 0.067  4.37
Mn 0.500 0.500 0.500  4.36
Cl 0.500 0.340 0.660  0.06
Cl 0.907 0.500 0.093  0.05
Cl 0.093 0.907 0.500  0.05
Cl 0.500 0.093 0.907  0.05
Cl 0.342 0.912 0.233  0.06
Cl 0.233 0.342 0.912  0.06
Cl 0.912 0.233 0.342  0.06
Cl 0.658 0.767 0.088  0.06
Cl 0.088 0.658 0.767  0.06
Cl 0.767 0.088 0.658  0.06
Cl 0.660 0.500 0.340  0.06
Cl 0.340 0.660 0.500  0.06


[9]
CsLiMn2Cl6 | PBE | optimized geometry

Cell lengths 7.780, 9.853, 9.853 Å; angles 93.24, 74.96, 74.96 degrees
Site moments in Bohr magnetons follow the coordinates.
Sites, in units of the cell vectors:
Cs 0.250 0.883 0.117  0.00
Cs 0.750 0.117 0.883  0.00
Li 0.250 0.217 0.783  0.01
Li 0.750 0.783 0.217  0.01
Mn 0.334 0.765 0.612  4.38
Mn 0.166 0.388 0.235  4.38
Mn 0.666 0.235 0.388  4.38
Mn 0.834 0.612 0.765  4.38
Cl 0.224 0.974 0.775  0.05
Cl 0.276 0.225 0.026  0.05
Cl 0.776 0.026 0.225  0.05
Cl 0.724 0.775 0.974  0.05
Cl 0.462 0.801 0.380  0.05
Cl 0.038 0.620 0.199  0.05
Cl 0.538 0.199 0.620  0.05
Cl 0.962 0.380 0.801  0.05
Cl 0.055 0.700 0.604  0.07
Cl 0.445 0.396 0.300  0.07
Cl 0.945 0.300 0.396  0.07
Cl 0.555 0.604 0.700  0.07


[10]
CsLiMnCl6 | PBE | optimized geometry

Cell lengths 6.432, 6.432, 7.747 Å; angles 90.00, 89.99, 59.99 degrees
Site moments in Bohr magnetons follow the coordinates.
Sites, in units of the cell vectors:
Cs 0.000 0.000 0.000  0.00
Li 0.667 0.667 0.500  0.00
Mn 0.333 0.333 0.500  2.89
Cl 0.033 0.355 0.329  0.01
Cl 0.355 0.033 0.671  0.01
Cl 0.613 0.355 0.671  0.01
Cl 0.032 0.613 0.671  0.01
Cl 0.355 0.613 0.329  0.01
Cl 0.613 0.032 0.329  0.01


[11]
CsLi2MnCl6 | PBE | optimized geometry

Cell lengths 7.851, 9.239, 9.239 Å; angles 90.75, 77.06, 77.06 degrees
Site moments in Bohr magnetons follow the coordinates.
Sites, in units of the cell vectors:
Cs 0.250 0.835 0.165  0.00
Cs 0.750 0.165 0.835  0.00
Li 0.361 0.635 0.532  0.00
Li 0.139 0.468 0.365  0.00
Li 0.639 0.365 0.468  0.00
Li 0.861 0.532 0.635  0.00
Mn 0.250 0.190 0.810  3.52
Mn 0.750 0.810 0.190  3.52
Cl 0.214 0.959 0.800  0.03
Cl 0.286 0.200 0.041  0.03
Cl 0.786 0.041 0.200  0.03
Cl 0.714 0.800 0.959  0.03
Cl 0.561 0.819 0.409  0.04
Cl 0.939 0.591 0.181  0.04
Cl 0.439 0.181 0.591  0.04
Cl 0.061 0.409 0.819  0.04
Cl 0.051 0.690 0.533  0.00
Cl 0.449 0.467 0.310  0.00
Cl 0.949 0.310 0.467  0.00
Cl 0.551 0.533 0.690  0.00


[12]
CsLiMnCl4 | PBE | optimized geometry

Cell lengths 6.187, 7.781, 9.571 Å; angles 90.00, 107.01, 90.00 degrees
Site moments in Bohr magnetons follow the coordinates.
Sites, in units of the cell vectors:
Cs 0.707 0.750 0.879  0.00
Cs 0.293 0.250 0.121  0.00
Li 0.666 0.750 0.310  0.00
Li 0.334 0.250 0.690  0.00
Mn 0.159 0.750 0.310  -4.33
Mn 0.841 0.250 0.690  -4.33
Cl 0.100 0.479 0.732  -0.05
Cl 0.900 0.979 0.268  -0.05
Cl 0.900 0.521 0.268  -0.05
Cl 0.100 0.021 0.732  -0.05
Cl 0.320 0.750 0.109  -0.06
Cl 0.680 0.250 0.891  -0.06
Cl 0.495 0.750 0.500  -0.05
Cl 0.505 0.250 0.500  -0.05


Energy relative to the elements, uncorrected values (in kcal/mol of atoms) by entry order: -32.046 -43.699 -7.460 -42.389 -39.260 -43.029 -42.852 -30.003 -32.327 -30.778 -33.493 -36.015.
Theoretical density values (in Mg/m³) by entry order: 2.26 2.95 2.28 1.92 2.52 2.65 2.36 2.45 2.20 2.44 2.17 2.54.